[1]
DFT (PBE-GGA) results for an optimized crystal structure of MnBe2Os.

a b c (Å): 3.2296 3.0345 8.5392
angles (deg): 90.00 90.00 90.00
Space group Amm2 (No. 38)
One atom of each set of equivalent atoms:
Mn 0.0000 0.0000 0.0000
Be 0.0000 0.0000 0.2782
Be 0.5000 0.0000 0.4236
Os 0.5000 0.0000 0.7023

Calculated values
Calculated total energy in eV per atom: -7.12
DOS(E_F) in states/eV/atom: 0.606
Volume in Å³ per atom: 10.46
E_form in eV per atom: -0.154



[2]
DFT (PBE-GGA) results for an optimized crystal structure of BaGeNCl2.

a b c (Å): 4.6980 4.6980 5.4064
angles (deg): 90.00 90.00 90.00
Space group P4/mmm (No. 123)
One atom of each set of equivalent atoms:
Ba 0.0000 0.0000 0.0000
Ge 0.5000 0.5000 0.0000
N 0.0000 0.0000 0.5000
Cl 0.0000 0.5000 0.5000

Calculated values
Calculated total energy in eV per atom: -3.34
DOS(E_F) in states/eV/atom: 0.891
Volume in Å³ per atom: 23.86
Uncorrected formation energy in eV per atom: 0.373



[3]
DFT (PBE-GGA) results for an optimized crystal structure of Tb4AlTl2.

a b c (Å): 5.5525 6.6265 10.7995
angles (deg): 90.00 100.31 90.00
Space group P2_1/m (No. 11)
One atom of each set of equivalent atoms:
Tb 0.1346 0.2500 0.1235
Tb 0.2361 0.7500 0.4413
Tb 0.3265 0.0116 0.7355
Al 0.1023 0.7500 0.1701
Tl 0.2188 0.2500 0.4253
Tl 0.4164 0.7500 0.0037

Calculated values
Polymorph energy (0 for the lowest one) in meV per atom: 0
Calculated total energy in eV per atom: -4.09
DOS(E_F) in states/eV/atom: 0.812
Volume in Å³ per atom: 27.92
E_form in eV per atom: -0.237



[4]
DFT (PBE-GGA) results for an optimized crystal structure of TePb7Br12.

a b c (Å): 16.1195 16.1195 10.9492
angles (deg): 90.00 90.00 120.00
Space group R-3 (No. 148, hexagonal axes)
One atom of each set of equivalent atoms:
Te 0.0000 0.0000 0.0000
Pb 0.0000 0.0000 0.5000
Pb 0.0458 0.8623 0.8275
Br 0.0366 0.4495 0.6545
Br 0.0377 0.8714 0.3292

Calculated values
Calculated total energy in eV per atom: -3.31
DOS(E_F) in states/eV/atom: 0.000
Volume in Å³ per atom: 41.06
Uncorrected formation energy in eV per atom: -0.853



[5]
DFT (PBE-GGA) results for an optimized crystal structure of Ta2ZnBr.

a b c (Å): 3.0033 3.0033 9.0712
angles (deg): 90.00 90.00 90.00
Space group P4mm (No. 99)
One atom of each set of equivalent atoms:
Ta 0.0000 0.0000 0.0000
Ta 0.5000 0.5000 0.2444
Zn 0.0000 0.0000 0.4448
Br 0.5000 0.5000 0.8045

Calculated values
Polymorph energy (0 for the lowest one) in meV per atom: 50
Calculated total energy in eV per atom: -6.45
DOS(E_F) in states/eV/atom: 0.878
Volume in Å³ per atom: 20.45
Uncorrected formation energy in eV per atom: 0.216



[6]
DFT (PBE-GGA) results for an optimized crystal structure of Pr2BeZn.

a b c (Å): 7.2721 7.2721 7.2721
angles (deg): 90.00 90.00 90.00
Space group Fm-3m (No. 225)
One atom of each set of equivalent atoms:
Pr 0.2500 0.2500 0.2500
Be 0.0000 0.0000 0.0000
Zn 0.0000 0.0000 0.5000

Calculated values
Polymorph energy (0 for the lowest one) in meV per atom: 13
Calculated total energy in eV per atom: -3.67
DOS(E_F) in states/eV/atom: 0.855
Volume in Å³ per atom: 24.04
E_form in eV per atom: -0.030



[7]
DFT (PBE-GGA) results for an optimized crystal structure of AlBrO2F.

a b c (Å): 3.7901 3.7901 5.8581
angles (deg): 90.00 90.00 90.00
Space group P4/mmm (No. 123)
One atom of each set of equivalent atoms:
Al 0.0000 0.0000 0.0000
Br 0.5000 0.5000 0.5000
O 0.0000 0.5000 0.5000
F 0.5000 0.5000 0.0000

Calculated values
Calculated total energy in eV per atom: -3.39
DOS(E_F) in states/eV/atom: 0.376
Volume in Å³ per atom: 16.83
Uncorrected formation energy in eV per atom: 0.050



[8]
DFT (PBE-GGA) results for an optimized crystal structure of Ce3BiOs.

a b c (Å): 5.4036 5.4036 5.4036
angles (deg): 90.00 90.00 90.00
Space group Pm-3m (No. 221)
One atom of each set of equivalent atoms:
Ce 0.0000 0.0000 0.5000
Bi 0.5000 0.5000 0.5000
Os 0.0000 0.0000 0.0000

Calculated values
Polymorph energy (0 for the lowest one) in meV per atom: 152
Calculated total energy in eV per atom: -6.87
DOS(E_F) in states/eV/atom: 3.360
Volume in Å³ per atom: 31.56
E_form in eV per atom: -0.290



[9]
DFT (PBE-GGA) results for an optimized crystal structure of Bi7Pd5.

a b c (Å): 14.4679 3.5301 12.2179
angles (deg): 90.00 105.94 90.00
Space group C2/m (No. 12)
One atom of each set of equivalent atoms:
Bi 0.0000 0.0000 0.0000
Bi 0.0326 0.5000 0.2852
Bi 0.1626 0.0000 0.5456
Bi 0.2422 0.5000 0.1384
Pd 0.0000 0.5000 0.5000
Pd 0.1170 0.5000 0.9143
Pd 0.1894 0.0000 0.3065

Calculated values
Calculated total energy in eV per atom: -4.61
DOS(E_F) in states/eV/atom: 0.505
Volume in Å³ per atom: 25.00
E_form in eV per atom: -0.181



[10]
DFT (PBE-GGA) results for an optimized crystal structure of LaPr7Tm4.

a b c (Å): 6.3723 7.3457 9.0429
angles (deg): 90.00 103.47 90.01
Space group P-1 (No. 2)
One atom of each set of equivalent atoms:
La 0.0000 0.0000 0.0000
Pr 0.0000 0.5000 0.0000
Pr 0.2244 0.0007 0.6640
Pr 0.2823 0.2527 0.3373
Pr 0.4993 0.2555 0.9968
Tm 0.2168 0.5005 0.6632
Tm 0.2770 0.7427 0.3348

Calculated values
Polymorph energy (0 for the lowest one) in meV per atom: 0
Calculated total energy in eV per atom: -4.68
DOS(E_F) in states/eV/atom: 1.462
Volume in Å³ per atom: 34.30
E_form in eV per atom: 0.007



[11]
DFT (PBE-GGA) results for an optimized crystal structure of SrCr2HgB.

a b c (Å): 5.3637 5.3637 4.2405
angles (deg): 90.00 90.00 90.00
Space group P4/mmm (No. 123)
One atom of each set of equivalent atoms:
Sr 0.0000 0.0000 0.0000
Cr 0.0000 0.5000 0.5000
Hg 0.5000 0.5000 0.5000
B 0.5000 0.5000 0.0000

Calculated values
Calculated total energy in eV per atom: -4.40
DOS(E_F) in states/eV/atom: 0.527
Volume in Å³ per atom: 24.40
E_form in eV per atom: 1.182



[12]
DFT (PBE-GGA) results for an optimized crystal structure of CePrHoTm.

a b c (Å): 8.0298 8.0298 8.0298
angles (deg): 90.00 90.00 90.00
Space group F-43m (No. 216)
One atom of each set of equivalent atoms:
Ce 0.0000 0.0000 0.0000
Pr 0.0000 0.0000 0.5000
Ho 0.2500 0.2500 0.2500
Tm 0.2500 0.2500 0.7500

Calculated values
Calculated total energy in eV per atom: -4.79
DOS(E_F) in states/eV/atom: 2.391
Volume in Å³ per atom: 32.36
E_form in eV per atom: 0.153



[13]
DFT (PBE-GGA) results for an optimized crystal structure of Mn4Pd2Pt5.

a b c (Å): 5.4063 9.5231 16.8983
angles (deg): 90.00 90.00 90.00
Space group Fmmm (No. 69)
One atom of each set of equivalent atoms:
Mn 0.0000 0.1592 0.1263
Pd 0.0000 0.0000 0.2563
Pt 0.0000 0.0000 0.0000
Pt 0.2500 0.2500 0.0000
Pt 0.2500 0.2500 0.2500

Calculated values
Calculated total energy in eV per atom: -6.94
DOS(E_F) in states/eV/atom: 0.730
Volume in Å³ per atom: 19.77
E_form in eV per atom: 0.080



[14]
DFT (PBE-GGA) results for an optimized crystal structure of CeDyNi2Ge2.

a b c (Å): 4.1831 4.1831 7.5101
angles (deg): 90.00 90.00 120.00
Space group P-3m1 (No. 164)
One atom of each set of equivalent atoms:
Ce 0.0000 0.0000 0.0000
Dy 0.0000 0.0000 0.5000
Ni 0.3333 0.6667 0.7403
Ge 0.3333 0.6667 0.2536

Calculated values
Calculated total energy in eV per atom: -5.97
DOS(E_F) in states/eV/atom: 1.412
Volume in Å³ per atom: 18.97
E_form in eV per atom: -0.747



[15]
DFT (PBE-GGA) results for an optimized crystal structure of CaPrSn2Pd5.

a b c (Å): 4.5125 4.5125 9.3872
angles (deg): 90.00 90.00 90.00
Space group P4/mmm (No. 123)
One atom of each set of equivalent atoms:
Ca 0.0000 0.0000 0.0000
Pr 0.0000 0.0000 0.5000
Sn 0.5000 0.5000 0.1511
Pd 0.0000 0.5000 0.2927
Pd 0.5000 0.5000 0.5000

Calculated values
Calculated total energy in eV per atom: -5.20
DOS(E_F) in states/eV/atom: 0.622
Volume in Å³ per atom: 21.24
E_form in eV per atom: -0.669



[16]
DFT (PBE-GGA) results for an optimized crystal structure of Tb3Ge4Au2.

a b c (Å): 10.8186 4.4391 8.3825
angles (deg): 90.00 104.17 90.00
Space group C2/m (No. 12)
One atom of each set of equivalent atoms:
Tb 0.0000 0.0000 0.0000
Tb 0.1625 0.5000 0.6728
Ge 0.0492 0.0000 0.3807
Ge 0.2145 0.5000 0.0420
Au 0.1220 0.5000 0.2896

Calculated values
Calculated total energy in eV per atom: -5.06
DOS(E_F) in states/eV/atom: 0.365
Volume in Å³ per atom: 21.68
E_form in eV per atom: -0.739



[17]
DFT (PBE-GGA) results for an optimized crystal structure of LaBe3V.

a b c (Å): 4.4646 4.4646 4.4646
angles (deg): 90.00 90.00 90.00
Space group Pm-3m (No. 221)
One atom of each set of equivalent atoms:
La 0.0000 0.0000 0.0000
Be 0.0000 0.5000 0.5000
V 0.5000 0.5000 0.5000

Calculated values
Polymorph energy (0 for the lowest one) in meV per atom: 0
Calculated total energy in eV per atom: -4.48
DOS(E_F) in states/eV/atom: 0.404
Volume in Å³ per atom: 17.80
E_form in eV per atom: 0.569



[18]
DFT (PBE-GGA) results for an optimized crystal structure of KTcOsO6.

a b c (Å): 5.3612 5.3612 5.7921
angles (deg): 90.00 90.00 120.00
Space group P312 (No. 149)
One atom of each set of equivalent atoms:
K 0.0000 0.0000 0.0000
Tc 0.3333 0.6667 0.5000
Os 0.6667 0.3333 0.5000
O 0.3961 0.0022 0.6791

Calculated values
Calculated total energy in eV per atom: -7.13
DOS(E_F) in states/eV/atom: 0.580
Volume in Å³ per atom: 16.02
Uncorrected formation energy in eV per atom: -1.300



[19]
DFT (PBE-GGA) results for an optimized crystal structure of Hg2Se.

a b c (Å): 3.7693 3.7693 21.4978
angles (deg): 90.00 90.00 90.00
Space group I4_1/amd (No. 141, origin choice 2)
One atom of each set of equivalent atoms:
Hg 0.0000 0.2500 0.3023
Se 0.0000 0.2500 0.8750

Calculated values
Polymorph energy (0 for the lowest one) in meV per atom: 239
Calculated total energy in eV per atom: -1.21
DOS(E_F) in states/eV/atom: 0.950
Volume in Å³ per atom: 25.45
Uncorrected formation energy in eV per atom: 0.148



[20]
DFT (PBE-GGA) results for an optimized crystal structure of Ce2Mg16Tl.

a b c (Å): 10.2932 10.2932 15.1897
angles (deg): 90.00 90.00 120.00
Space group R3m (No. 160, hexagonal axes)
One atom of each set of equivalent atoms:
Ce 0.0000 0.0000 0.0000
Ce 0.0000 0.0000 0.3422
Mg 0.0000 0.0000 0.7650
Mg 0.9999 0.3053 0.6720
Mg 0.0121 0.5061 0.8257
Mg 0.1684 0.3369 0.5054
Mg 0.1698 0.3395 0.8514
Tl 0.0000 0.0000 0.5675

Calculated values
Calculated total energy in eV per atom: -2.12
DOS(E_F) in states/eV/atom: 1.086
Volume in Å³ per atom: 24.45
E_form in eV per atom: -0.027